No. 1
Computed, not measured: a relaxed Pa2AsO3 crystal at the GGA-PBE level of DFT.

CIF file:
```
data_Pa2AsO3
_cell_length_a 7.522
_cell_length_b 7.522
_cell_length_c 8.235
_cell_angle_alpha 117.63
_cell_angle_beta 117.63
_cell_angle_gamma 28.99
_symmetry_space_group_name_H-M 'P 1'
_symmetry_Int_Tables_number 1
_symmetry_space_group_name_Hall 'P 1'
loop_
_atom_site_label
_atom_site_type_symbol
_atom_site_fract_x
_atom_site_fract_y
_atom_site_fract_z
Pa1 Pa 0.005 0.005 0.222
Pa2 Pa 0.303 0.303 0.352
Pa3 Pa 0.697 0.697 0.648
Pa4 Pa 0.995 0.995 0.778
As1 As 0.367 0.367 0.922
As2 As 0.633 0.633 0.078
O1 O 0.120 0.120 0.701
O2 O 0.180 0.180 0.449
O3 O 0.461 0.461 0.621
O4 O 0.539 0.539 0.379
O5 O 0.820 0.820 0.551
O6 O 0.880 0.880 0.299
```

Symmetry = No. 12
Formation energy from raw total energies = -2.810 eV per atom
Total moment = 1.97 μB/cell

***

No. 2
Computed, not measured: a relaxed Mn2MoHPd crystal at the GGA-PBE level of DFT.

CIF file:
```
data_Mn2MoHPd
_cell_length_a 4.612
_cell_length_b 4.612
_cell_length_c 4.918
_cell_angle_alpha 90.00
_cell_angle_beta 90.00
_cell_angle_gamma 90.00
_symmetry_space_group_name_H-M 'P 1'
_symmetry_Int_Tables_number 1
_symmetry_space_group_name_Hall 'P 1'
loop_
_atom_site_label
_atom_site_type_symbol
_atom_site_fract_x
_atom_site_fract_y
_atom_site_fract_z
Mn1 Mn 0.000 0.500 0.000
Mn2 Mn 0.500 0.000 0.000
Mo1 Mo 0.000 0.000 0.000
H1 H 0.500 0.500 0.500
Pd1 Pd 0.000 0.000 0.500
```

Symmetry = No. 123
Distance to the lowest polymorph of the same formula = 8.345 eV/f.u.
Total moment = 4.28 μB/cell

***

No. 3
Computed, not measured: a relaxed CoTe3S crystal at the GGA-PBE level of DFT.

CIF file:
```
data_CoTe3S
_cell_length_a 4.969
_cell_length_b 4.969
_cell_length_c 4.969
_cell_angle_alpha 90.00
_cell_angle_beta 90.00
_cell_angle_gamma 90.00
_symmetry_space_group_name_H-M 'P 1'
_symmetry_Int_Tables_number 1
_symmetry_space_group_name_Hall 'P 1'
loop_
_atom_site_label
_atom_site_type_symbol
_atom_site_fract_x
_atom_site_fract_y
_atom_site_fract_z
Co1 Co 0.000 0.000 0.000
Te1 Te 0.000 0.000 0.500
Te2 Te 0.000 0.500 0.000
Te3 Te 0.500 0.000 0.000
S1 S 0.500 0.500 0.500
```

Symmetry = No. 221
Distance to the lowest polymorph of the same formula = 0.000 eV/f.u.
Formation energy from raw total energies = 0.568 eV per atom
Total moment = 0.00 μB/cell

***

No. 4
Computed, not measured: a relaxed Be3OsRu crystal at the GGA-PBE level of DFT.

CIF file:
```
data_Be3OsRu
_cell_length_a 3.965
_cell_length_b 3.965
_cell_length_c 3.965
_cell_angle_alpha 90.00
_cell_angle_beta 90.00
_cell_angle_gamma 90.00
_symmetry_space_group_name_H-M 'P 1'
_symmetry_Int_Tables_number 1
_symmetry_space_group_name_Hall 'P 1'
loop_
_atom_site_label
_atom_site_type_symbol
_atom_site_fract_x
_atom_site_fract_y
_atom_site_fract_z
Be1 Be 0.000 0.000 0.500
Be2 Be 0.000 0.500 0.000
Be3 Be 0.500 0.000 0.000
Os1 Os 0.500 0.500 0.500
Ru1 Ru 0.000 0.000 0.000
```

Symmetry = No. 221
Formation enthalpy at 0 K = 1.00 eV/atom
Distance to the lowest polymorph of the same formula = 0.167 eV/f.u.
Total moment = 0.00 μB/cell

***

Which value of total moment does entry 1 give?
1.97 μB/cell